Run w
A plane-wave DFT calculation with PBE was carried out for crystalline Pd3AuO at its relaxed geometry.

Values from the calculation:
Magnetic moment = 0.000 μB/f.u.
Density = 11.73 g cm⁻³

Structure (extended XYZ):
```
5
Lattice="4.2240 0.0000 0.0000 0.0000 4.2240 0.0000 0.0000 0.0000 4.2240" Properties=species:S:1:pos:R:3 pbc="T T T"
Au 2.1120 2.1120 2.1120
O 0.0000 0.0000 0.0000
Pd 0.0000 2.1120 0.0000
Pd 0.0000 0.0000 2.1120
Pd 2.1120 0.0000 0.0000
```



Run x
A plane-wave DFT calculation with PBE was carried out for crystalline Pd3AuO at its relaxed geometry.

Values from the calculation:
Magnetic moment = 0.000 μB/f.u.
Density = 7.12 g cm⁻³

Structure (extended XYZ):
```
5
Lattice="-4.2229 1.6861 -2.0491 -0.1234 -3.9718 -3.0140 -2.6508 -2.5013 3.4047" Properties=species:S:1:pos:R:3 pbc="T T T"
Au 0.0000 0.0000 0.0000
O -3.4985 -2.3935 -0.8292
Pd -0.0617 -1.9859 -1.5070
Pd -1.3254 -1.2506 1.7023
Pd -2.1115 0.8430 -1.0245
```



Relative energies, in eV/atom, with the most stable structure set to zero: run w 0.000; run x 1.585.



Run w
A plane-wave DFT calculation with PBE was carried out for crystalline Pr3AuO at its relaxed geometry.

Values from the calculation:
Magnetic moment = 0.000 μB/f.u.
Density = 8.59 g cm⁻³

Structure (extended XYZ):
```
10
Lattice="3.8675 0.0000 0.0000 -1.9337 6.3756 0.0000 0.0000 0.0000 9.9702" Properties=species:S:1:pos:R:3 pbc="T T T"
Pr 0.0000 0.7537 7.4777
Pr 1.9337 5.6220 2.4926
Pr 0.0000 4.7460 5.5462
Pr 1.9337 1.6297 4.4240
Pr 1.9337 1.6297 0.5611
Pr 0.0000 4.7460 9.4092
Au 0.0000 3.1340 2.4926
Au 1.9337 3.2417 7.4777
O 0.0000 0.0000 4.9851
O 0.0000 0.0000 0.0000
```



Run x
A plane-wave DFT calculation with PBE was carried out for crystalline Pr3AuO at its relaxed geometry.

Values from the calculation:
Magnetic moment = 0.000 μB/f.u.
Density = 8.66 g cm⁻³

Structure (extended XYZ):
```
5
Lattice="-2.0073 -3.3770 -3.0253 4.3807 -0.5915 -2.2463 1.1690 -3.5821 3.2230" Properties=species:S:1:pos:R:3 pbc="T T T"
Pr 2.1903 -0.2957 -1.1232
Pr 0.5845 -1.7911 1.6115
Pr -1.0036 -1.6885 -1.5126
Au 1.7712 -3.7753 -1.0243
O 0.0000 0.0000 0.0000
```



Run y
A plane-wave DFT calculation with PBE was carried out for crystalline Pr3AuO at its relaxed geometry.

Values from the calculation:
Magnetic moment = 0.000 μB/f.u.
Density = 8.52 g cm⁻³

Structure (extended XYZ):
```
20
Lattice="6.4583 0.0000 0.0000 0.0000 8.8940 -0.8439 0.0000 -4.1906 9.0275" Properties=species:S:1:pos:R:3 pbc="T T T"
Pr 0.5777 3.6192 5.2115
Pr 5.8806 1.0842 2.9721
Pr 3.8068 3.4359 7.0639
Pr 2.6515 1.2675 1.1197
Pr 3.8297 3.8329 3.5299
Pr 2.6286 0.8706 4.6537
Pr 0.6005 7.4128 -0.2820
Pr 5.8578 -2.7094 8.4657
Pr 0.7372 4.3027 1.5750
Pr 5.7211 0.4007 6.6086
Pr 3.9663 6.9430 1.6729
Pr 2.4920 -2.2396 6.5107
Au 5.4096 6.3472 4.5503
Au 1.0487 -1.6438 3.6333
Au 2.1805 0.7079 7.7252
Au 4.2778 3.9955 0.4585
O 1.5845 2.5290 3.1267
O 4.8738 2.1744 5.0569
O 4.8136 -0.1773 0.9651
O 1.6447 4.8807 7.2185
```



Relative energies, in eV/atom, with the most stable structure set to zero: run w 0.000; run x 0.077; run y 0.126.



Run w
A plane-wave DFT calculation with PBE was carried out for crystalline Pr2AuO at its relaxed geometry.

Values from the calculation:
Magnetic moment = 0.000 μB/f.u.
Density = 8.77 g cm⁻³

Structure (extended XYZ):
```
4
Lattice="3.5304 0.0000 0.0000 0.0000 3.6051 0.0000 -1.7652 0.0000 7.3621" Properties=species:S:1:pos:R:3 pbc="T T T"
Pr 1.7652 1.8026 6.4099
Pr 0.0000 0.0000 3.4501
Au 1.7652 0.0000 0.8223
O 1.7652 1.8026 4.0419
```



Run x
A plane-wave DFT calculation with PBE was carried out for crystalline Pr2AuO at its relaxed geometry.

Values from the calculation:
Magnetic moment = 0.000 μB/f.u.
Density = 9.07 g cm⁻³

Structure (extended XYZ):
```
4
Lattice="-1.2531 -1.2577 -3.4452 -1.9904 -3.3166 -0.2454 -7.0296 1.9797 -0.3459" Properties=species:S:1:pos:R:3 pbc="T T T"
Pr -8.0209 -1.7598 -2.9803
Pr -2.2523 -0.8348 -1.0561
Au -5.1366 -1.2973 -2.0182
O 0.0000 0.0000 0.0000
```



Relative energies, in eV/atom, with the most stable structure set to zero: run w 0.005; run x 0.000.



Run w
A plane-wave DFT calculation with PBE was carried out for crystalline Pr4Au2O at its relaxed geometry.

Values from the calculation:
Magnetic moment = 0.000 μB/f.u.
Density = 8.56 g cm⁻³

Structure (extended XYZ):
```
14
Lattice="3.8949 0.0000 0.0000 0.0000 7.3397 0.0000 0.0000 0.0000 13.2174" Properties=species:S:1:pos:R:3 pbc="T T T"
Pr 0.0000 4.4100 10.7245
Pr 0.0000 2.9297 2.4929
Pr 0.0000 0.7401 9.1017
Pr 0.0000 6.5995 4.1158
Pr 1.9475 5.6740 7.1646
Pr 1.9475 1.6657 6.0529
Pr 1.9475 5.3355 0.5559
Pr 1.9475 2.0042 12.6616
Au 1.9475 6.7666 11.0373
Au 1.9475 0.5731 2.1801
Au 1.9475 3.0968 8.7888
Au 1.9475 4.2429 4.4286
O 0.0000 0.0000 6.6087
O 0.0000 3.6698 0.0000
```



Run x
A plane-wave DFT calculation with PBE was carried out for crystalline Pr4Au2O at its relaxed geometry.

Values from the calculation:
Magnetic moment = 0.000 μB/f.u.
Density = 8.74 g cm⁻³

Structure (extended XYZ):
```
7
Lattice="4.9202 0.0000 0.0000 0.0000 4.9202 0.0000 -2.4601 -2.4601 7.6443" Properties=species:S:1:pos:R:3 pbc="T T T"
Pr 2.4601 2.4601 4.8733
Pr 0.0000 0.0000 2.7710
Pr 0.0000 2.4601 0.0000
Pr 2.4601 0.0000 0.0000
Au 2.4601 2.4601 1.9742
Au 0.0000 0.0000 5.6701
O 0.0000 0.0000 0.0000
```



Relative energies, in eV/atom, with the most stable structure set to zero: run w 0.108; run x 0.000.



Run w
A plane-wave DFT calculation with PBE was carried out for crystalline PtAu3O at its relaxed geometry.

Values from the calculation:
Magnetic moment = 0.000 μB/f.u.
Density = 10.24 g cm⁻³

Structure (extended XYZ):
```
5
Lattice="-0.9724 0.4484 -4.9519 -2.7994 -4.2194 0.1677 -4.1092 2.7684 1.0576" Properties=species:S:1:pos:R:3 pbc="T T T"
Au -1.3997 -2.1097 0.0838
Au -2.0546 1.3842 0.5288
Au -0.4862 0.2242 -2.4760
O -3.9405 -0.5013 -1.8633
Pt 0.0000 0.0000 0.0000
```



Run x
A plane-wave DFT calculation with PBE was carried out for crystalline PtAu3O at its relaxed geometry.

Values from the calculation:
Magnetic moment = 0.000 μB/f.u.
Density = 15.58 g cm⁻³

Structure (extended XYZ):
```
5
Lattice="-0.5096 -3.2270 2.9547 -1.0573 -2.7957 -3.2356 4.2457 -1.0835 -0.4511" Properties=species:S:1:pos:R:3 pbc="T T T"
Au -0.5286 -1.3979 -1.6178
Au 2.1228 -0.5418 -0.2256
Au -0.2548 -1.6135 1.4774
O 0.0000 0.0000 0.0000
Pt 1.3394 -3.5531 -0.3660
```



Relative energies, in eV/atom, with the most stable structure set to zero: run w 0.918; run x 0.000.



Run w
A plane-wave DFT calculation with PBE was carried out for crystalline PuAuO at its relaxed geometry.

Values from the calculation:
Magnetic moment = 5.003 μB/f.u.
Density = 13.80 g cm⁻³

Structure (extended XYZ):
```
6
Lattice="-2.0432 -1.0029 2.9340 0.1159 -3.5360 -1.1279 7.6174 1.1333 3.3422" Properties=species:S:1:pos:R:3 pbc="T T T"
Pu 1.2010 -0.2051 0.7663
Pu 4.4890 -3.2005 4.3820
O 0.0579 -1.7680 -0.5640
O -1.0216 -0.5014 1.4670
Au 1.7811 -2.7381 2.6543
Au 3.9090 -0.6675 2.4940
```



Run x
A plane-wave DFT calculation with PBE was carried out for crystalline PuAuO at its relaxed geometry.

Values from the calculation:
Magnetic moment = 4.997 μB/f.u.
Density = 13.61 g cm⁻³

Structure (extended XYZ):
```
6
Lattice="-0.0999 3.2054 -2.2405 -3.3318 -1.2434 -1.6303 -3.8132 3.4752 5.1422" Properties=species:S:1:pos:R:3 pbc="T T T"
Pu -3.8121 1.0429 -0.0456
Pu -3.4328 4.3944 1.3170
Au -5.9937 3.0312 2.8964
Au -1.2513 2.4061 -1.6250
O -4.4804 3.2092 -0.3320
O -2.7645 2.2281 1.6034
```



Relative energies, in eV/atom, with the most stable structure set to zero: run w 0.394; run x 0.000.



Run w
A plane-wave DFT calculation with PBE was carried out for crystalline Rb12Au5O3 at its relaxed geometry.

Values from the calculation:
Magnetic moment = 0.000 μB/f.u.
Density = 4.38 g cm⁻³

Structure (extended XYZ):
```
20
Lattice="-1.5422 -3.4864 -2.2646 4.2598 6.0332 -12.1895 8.8387 -8.5722 7.1781" Properties=species:S:1:pos:R:3 pbc="T T T"
Rb 3.3940 4.8070 -9.7121
Rb 2.6622 -0.5160 -1.0185
Rb 7.0423 -6.8300 5.7192
Rb 2.3051 3.2648 -6.5963
Rb 6.0103 -1.1650 -2.2995
Rb 4.7830 -4.6388 3.8844
Rb 4.0154 -4.1830 -0.6359
Rb 7.0914 -7.1281 1.8035
Rb 4.5140 1.0931 -9.0983
Rb 8.5170 -5.0299 -2.3978
Rb 7.5248 -1.8651 -6.5944
Rb 3.0061 -0.9635 -4.9051
Au 7.3124 -3.7038 0.7222
Au 5.7861 1.1647 -5.7337
Au 1.2126 1.7175 -3.4700
Au 9.3698 -1.8162 -3.5849
Au 2.5161 -2.4402 2.0434
O 2.0694 2.2799 -9.2607
O 3.5928 -2.5891 -2.8019
O 5.1228 -7.4595 3.6543
```



Run x
A plane-wave DFT calculation with PBE was carried out for crystalline Rb12Au5O3 at its relaxed geometry.

Values from the calculation:
Magnetic moment = 0.000 μB/f.u.
Density = 3.49 g cm⁻³

Structure (extended XYZ):
```
80
Lattice="17.2016 0.0000 0.0000 -5.7339 16.2178 0.0000 -5.7339 -8.1089 14.0450" Properties=species:S:1:pos:R:3 pbc="T T T"
O 10.0343 5.0681 1.7556
O 10.0343 11.1497 1.7556
O -1.4335 7.0953 8.7781
O 1.4335 -1.0136 5.2669
O 12.9012 0.0000 3.5113
O 1.4335 8.1089 3.5113
O 4.3004 0.0000 10.5338
O -7.1673 8.1089 10.5338
O 4.3004 9.1225 8.7781
O 7.1673 1.0136 5.2669
O -4.3004 -3.0408 12.2894
O -4.3004 3.0408 12.2894
Au -1.4335 4.0545 3.5113
Au -2.8669 8.1089 0.0000
Au 0.0000 0.0000 0.0000
Au 4.3004 3.0408 1.7556
Au 5.7339 -4.0545 7.0225
Au 5.7339 8.1089 0.0000
Au -4.3004 9.1225 5.2669
Au 7.1673 -5.0681 12.2894
Au 7.1673 7.0953 5.2669
Au 1.4335 -4.0545 10.5338
Au 4.3004 12.1634 3.5113
Au 2.8669 4.0545 7.0225
Au 8.6008 0.0000 0.0000
Au -2.8669 -4.0545 7.0225
Au -1.4335 1.0136 8.7781
Au -1.4335 13.1770 1.7556
Au -5.7339 4.0545 7.0225
Au 10.0343 -1.0136 8.7781
Au 1.4335 5.0681 12.2894
Au 7.1673 4.0545 10.5338
Rb 3.9337 -4.8446 13.9762
Rb 1.8002 5.6270 4.1611
Rb -3.7832 1.8569 5.2436
Rb 6.6501 0.4418 2.7926
Rb 0.1449 5.0417 8.8703
Rb -4.7051 10.3462 1.8478
Rb -1.9507 9.5240 8.0362
Rb 1.9507 -0.4418 2.7926
Rb 8.4559 -5.0417 8.8703
Rb 7.5720 5.8716 1.8478
Rb 10.4010 5.7463 4.2299
Rb 4.6671 4.8446 13.9762
Rb -3.0118 6.1483 6.9536
Rb -1.8382 -2.7189 13.0314
Rb 9.6675 10.4715 4.2299
Rb 4.6671 -2.4819 9.8840
Rb 14.4795 1.1066 1.7789
Rb 3.8957 8.5905 2.8615
Rb 12.3840 -1.8569 5.2436
Rb -1.0288 7.6273 2.8615
Rb 0.1449 -7.0023 12.2661
Rb 4.8176 6.6938 8.0362
Rb 5.8787 10.0695 6.9536
Rb 12.4965 5.3900 1.0137
Rb 0.9163 1.4151 6.0088
Rb -0.1449 -1.9606 7.0914
Rb -6.7626 2.7189 13.0314
Rb -6.6501 9.9658 8.8014
Rb 5.5890 15.1112 1.7789
Rb 6.7626 0.4816 11.1836
Rb 1.8382 -0.4816 11.1836
Rb 1.0668 10.5908 4.1611
Rb -8.7456 7.0023 12.2661
Rb -3.9337 -2.3626 9.8151
Rb 8.7456 1.9606 7.0914
Rb 1.0668 3.2644 0.0689
Rb 7.5720 10.8278 1.0137
Rb -2.7221 13.1506 5.1747
Rb -1.8382 2.2373 12.1973
Rb -4.6671 2.3626 9.8151
Rb 3.7832 8.5507 11.2525
Rb 7.6845 -1.4151 6.0088
Rb -0.9163 7.6671 11.2525
Rb 10.4390 -2.2373 12.1973
Rb 5.5890 3.0672 5.1747
Rb 9.5171 6.2520 8.8014
Rb 3.9337 2.4819 9.8840
Rb 1.8002 12.9535 0.0689
```



Relative energies, in eV/atom, with the most stable structure set to zero: run w 0.000; run x 0.104.



Run w
A plane-wave DFT calculation with PBE was carried out for crystalline Rb6Au3O at its relaxed geometry.

Values from the calculation:
Magnetic moment = 0.000 μB/f.u.
Density = 4.04 g cm⁻³

Structure (extended XYZ):
```
20
Lattice="-3.6141 6.3685 -6.4199 -7.3186 -6.2826 -1.3420 -4.4104 4.3154 7.5339" Properties=species:S:1:pos:R:3 pbc="T T T"
Rb -9.5998 -0.1807 5.7188
Rb -8.3937 -4.3294 0.3837
Rb -6.3425 1.1149 2.1106
Rb -5.6672 5.4284 5.2688
Rb -6.5349 0.2431 -1.7782
Rb -9.8437 0.4878 0.3774
Rb -5.4994 3.9135 -0.6055
Rb -8.8082 4.1582 1.5502
Rb -9.6759 -1.0271 -5.4968
Rb -9.0005 3.2863 -2.3386
Rb -6.9494 8.7306 -0.6117
Rb -5.7433 4.5820 -5.9468
Au -5.6681 -2.0492 0.7100
Au -4.0468 3.7009 2.5997
Au -11.0079 2.0225 3.2905
Au -4.3351 2.3787 -3.5185
Au -11.2963 0.7004 -2.8277
Au -9.6749 6.4505 -0.9380
O 0.0000 0.0000 0.0000
O -7.6715 2.2006 -0.1140
```



Run x
A plane-wave DFT calculation with PBE was carried out for crystalline Rb6Au3O at its relaxed geometry.

Values from the calculation:
Magnetic moment = 0.000 μB/f.u.
Density = 3.90 g cm⁻³

Structure (extended XYZ):
```
20
Lattice="-4.5518 2.9013 6.3786 -4.6242 -9.7142 1.1187 8.6293 -0.7140 6.4827" Properties=species:S:1:pos:R:3 pbc="T T T"
Rb 1.4910 -6.5513 6.1907
Rb -0.2283 -4.7226 9.6053
Rb 5.0045 -4.0749 7.2817
Rb -3.6524 -6.9574 7.8885
Rb 7.3170 -0.7613 7.1093
Rb 2.5592 -0.5287 9.9353
Rb -2.8221 -7.1792 3.6469
Rb -6.8699 -7.3991 5.4780
Rb 3.8373 -1.0358 5.0664
Rb -4.8196 -3.9183 5.6732
Rb 0.1720 -3.1169 3.6874
Rb -1.5473 -1.2883 7.1020
Au -0.2427 -8.1087 8.7313
Au 0.2081 -4.8064 13.0242
Au 1.4731 -3.0803 7.0070
Au -3.5318 -3.4829 9.0918
Au -2.3661 1.8962 8.1385
Au -2.8170 -1.4061 3.8457
O 5.9626 -2.3752 5.6088
O -4.4608 -6.4574 5.5006
```



Relative energies, in eV/atom, with the most stable structure set to zero: run w 0.000; run x 0.030.



Run w
A plane-wave DFT calculation with PBE was carried out for crystalline Rb7Au4O at its relaxed geometry.

Values from the calculation:
Magnetic moment = 0.003 μB/f.u.
Density = 4.46 g cm⁻³

Structure (extended XYZ):
```
12
Lattice="5.5851 0.0000 0.0000 2.7925 10.3093 0.1390 2.7925 0.6696 9.0686" Properties=species:S:1:pos:R:3 pbc="T T T"
Rb 8.3776 9.3118 5.7249
Rb 2.7925 1.6671 3.4828
Rb 2.7925 7.9766 1.2046
Rb 8.3776 3.0023 8.0030
Rb 5.5851 6.0092 6.6875
Rb 2.7925 0.0000 0.0000
Rb 5.5851 4.9697 2.5201
Au 5.5851 2.6109 5.4088
Au 5.5851 8.3680 3.7989
Au 8.3776 7.0981 8.4283
Au 2.7925 3.8808 0.7794
O 0.0000 0.0000 0.0000
```



Run x
A plane-wave DFT calculation with PBE was carried out for crystalline Rb7Au4O at its relaxed geometry.

Values from the calculation:
Magnetic moment = 0.000 μB/f.u.
Density = 4.59 g cm⁻³

Structure (extended XYZ):
```
12
Lattice="-4.6064 -3.2256 -0.6918 0.0486 -6.4849 6.7116 -6.8748 3.2090 7.6124" Properties=species:S:1:pos:R:3 pbc="T T T"
Rb -4.0607 -4.5137 1.6805
Rb -7.3719 -1.9879 11.9518
Rb -5.3879 1.3444 6.4054
Rb -6.0448 -7.8459 7.2269
Rb -5.3942 -4.1453 8.8423
Rb -2.3032 -1.6128 -0.3459
Rb -6.0384 -2.3563 4.7900
Au -4.1609 -5.1900 5.5014
Au -7.2717 -1.3115 8.1309
Au -7.9384 -5.8695 10.6209
Au -3.4942 -0.6320 3.0114
O 0.0000 0.0000 0.0000
```



Relative energies, in eV/atom, with the most stable structure set to zero: run w 0.059; run x 0.000.